DyPu5S6 | Alexandria via LeMat-Bulk | PBE-GGA | relaxed; DOS(E_F) = 41.47 states/eV/cell; SG = No. 12; formation energy (no corrections) = -1.808 eV/atom
1.0
6.770 0.163 1.027
1.661 5.737 3.344
0.114 0.061 6.844
S Dy Pu
6 1 5
direct
0.250 0.249 0.000
0.750 0.751 0.000
0.751 0.416 0.667
0.249 0.584 0.333
0.751 0.083 0.333
0.249 0.917 0.667
0.000 0.000 0.000
0.000 0.333 0.333
0.000 0.667 0.667
0.500 0.167 0.666
0.500 0.500 0.000
0.500 0.833 0.334

DyPu2S4 | Alexandria via LeMat-Bulk | PBE-GGA | relaxed; DOS(E_F) = 30.96 states/eV/cell; SG = No. 63; energy above the most stable polymorph in this dataset = 30 meV/atom; formation energy (no corrections) = -1.800 eV/atom
1.0
-0.503 3.800 0.309
-3.191 -1.905 -5.701
-11.034 -2.019 6.849
S Pu Dy
8 4 2
direct
0.973 0.947 0.750
0.500 0.000 0.500
0.777 0.554 0.375
0.223 0.446 0.875
0.500 0.000 0.000
0.027 0.053 0.250
0.777 0.554 0.125
0.223 0.446 0.625
0.868 0.735 0.569
0.132 0.265 0.069
0.132 0.265 0.431
0.868 0.735 0.931
0.622 0.244 0.750
0.378 0.756 0.250

DyPu6S8 | Alexandria via LeMat-Bulk | PBE-GGA | relaxed; DOS(E_F) = 51.46 states/eV/cell; SG = No. 225; formation energy (no corrections) = -1.798 eV/atom
1.0
6.866 0.000 3.964
2.289 6.474 3.964
0.000 0.000 7.928
Pu S Dy
6 8 1
direct
0.000 0.500 0.500
0.500 0.000 0.000
0.000 0.500 0.000
0.500 0.500 0.000
0.500 0.000 0.500
0.000 0.000 0.500
0.750 0.750 0.750
0.246 0.754 0.246
0.754 0.246 0.754
0.754 0.754 0.246
0.246 0.246 0.754
0.250 0.250 0.250
0.246 0.754 0.754
0.754 0.246 0.246
0.000 0.000 0.000

DyPuS | Alexandria via LeMat-Bulk | PBE-GGA | relaxed; DOS(E_F) = 9.08 states/eV/cell; SG = No. 166; formation energy (no corrections) = -1.008 eV/atom
1.0
3.536 0.000 0.000
1.768 3.063 0.000
1.768 1.021 11.754
Dy S Pu
2 2 2
direct
0.953 0.953 0.141
0.047 0.047 0.859
0.431 0.431 0.708
0.569 0.569 0.292
0.185 0.185 0.445
0.815 0.815 0.555

Dy3Pu2S6 | Alexandria via LeMat-Bulk | PBE-GGA | relaxed; DOS(E_F) = 18.72 states/eV/cell; SG = No. 12; formation energy (no corrections) = -1.948 eV/atom
1.0
6.524 0.000 1.942
3.262 5.895 0.971
0.333 0.000 6.822
S Dy Pu
6 3 2
direct
0.414 0.664 0.757
0.586 0.336 0.243
0.751 0.000 0.753
0.078 0.336 0.757
0.922 0.664 0.243
0.249 0.000 0.247
0.664 0.672 0.000
0.000 0.000 0.000
0.336 0.328 0.000
0.833 0.334 0.500
0.167 0.666 0.500

Dy2PuS4 | Alexandria via LeMat-Bulk | PBE-GGA | relaxed; DOS(E_F) = 29.35 states/eV/cell; SG = No. 63; formation energy (no corrections) = -1.953 eV/atom
1.0
-2.015 -1.243 -3.071
-2.453 -3.251 5.373
-8.718 9.605 1.831
S Pu Dy
8 2 4
direct
0.963 0.927 0.750
0.500 0.000 0.000
0.037 0.073 0.250
0.773 0.546 0.378
0.227 0.454 0.622
0.500 0.000 0.500
0.773 0.546 0.122
0.227 0.454 0.878
0.619 0.239 0.750
0.381 0.761 0.250
0.867 0.735 0.932
0.133 0.265 0.432
0.867 0.735 0.568
0.133 0.265 0.068

Dy4PuS6 | Alexandria via LeMat-Bulk | PBE-GGA | relaxed; DOS(E_F) = 31.38 states/eV/cell; SG = No. 63; formation energy (no corrections) = -1.968 eV/atom
1.0
-2.203 3.195 -0.012
-2.855 -4.341 -4.291
-10.850 -7.428 14.734
S Dy Pu
12 8 2
direct
0.500 0.000 0.500
0.046 0.092 0.334
0.500 0.000 0.000
0.688 0.377 0.750
0.312 0.623 0.250
0.046 0.092 0.166
0.770 0.540 0.412
0.230 0.460 0.912
0.230 0.460 0.588
0.770 0.540 0.088
0.954 0.908 0.834
0.954 0.908 0.666
0.862 0.723 0.958
0.592 0.184 0.629
0.138 0.277 0.042
0.408 0.816 0.371
0.138 0.277 0.458
0.408 0.816 0.129
0.592 0.184 0.871
0.862 0.723 0.542
0.656 0.311 0.250
0.344 0.689 0.750

DyPu3S4 | Alexandria via LeMat-Bulk | PBE-GGA | relaxed; DOS(E_F) = 24.08 states/eV/cell; SG = No. 65; formation energy (no corrections) = -1.835 eV/atom
1.0
-1.038 3.292 -1.917
-5.837 -2.977 -1.950
-0.956 3.179 5.977
Dy S Pu
1 4 3
direct
0.500 0.000 0.000
0.000 0.248 0.248
0.500 0.751 0.249
0.000 0.752 0.752
0.500 0.249 0.751
0.500 0.500 0.500
0.000 0.500 0.000
0.000 0.000 0.500